P:
Below is an optimized crystal structure of LiHo2Au3, with properties calculated at the PBE level.

The density of states at the Fermi level comes out at 2.67 states/eV/cell. The calculation puts the volume at 124 Å³ per cell.

It has space group P4/mmm (No. 123), with a = 3.5292 Å, b = 3.5292 Å, c = 9.9907 Å, α = 90.00°, β = 90.00° and γ = 90.00°. The asymmetric unit holds Li at (0.0000, 0.0000, 0.0000), Ho at (0.0000, 0.0000, 0.3154), Au at (0.5000, 0.5000, 0.1436) and Au at (0.5000, 0.5000, 0.5000).

---

Q:
Below is an optimized crystal structure of LiHo2Au3, with properties calculated at the PBE level.

The density of states at the Fermi level comes out at 6.22 states/eV/cell. The calculation puts the volume at 254 Å³ per cell.

It has space group P-3m1 (No. 164), with a = 4.9616 Å, b = 4.9616 Å, c = 11.9301 Å, α = 90.00°, β = 90.00° and γ = 120.00°. The asymmetric unit holds Li at (0.3333, 0.6667, 0.1691), Ho at (0.0000, 0.0000, 0.0000), Ho at (0.0000, 0.0000, 0.5000), Ho at (0.3333, 0.6667, 0.6846), Au at (0.0000, 0.0000, 0.2501), Au at (0.3333, 0.6667, 0.4222) and Au at (0.3333, 0.6667, 0.9341).

---

Verdict on stability: Q comes out on top.

---

P:
Below is an optimized crystal structure of LiHoAu4, with properties calculated at the PBE level.

The density of states at the Fermi level comes out at 5.49 states/eV/cell. The calculation puts the volume at 234 Å³ per cell.

It has space group C2/m (No. 12), with a = 5.1525 Å, b = 8.8799 Å, c = 5.1058 Å, α = 90.00°, β = 90.28° and γ = 90.00°. The asymmetric unit holds Li at (0.0000, 0.0000, 0.0000), Ho at (0.0000, 0.5000, 0.5000), Au at (0.0000, 0.1622, 0.5000) and Au at (0.0000, 0.3307, 0.0000).

---

Q:
Below is an optimized crystal structure of LiHoAu4, with properties calculated at the PBE level.

The density of states at the Fermi level comes out at 4.12 states/eV/cell. The calculation puts the volume at 258 Å³ per cell.

It has space group Cmmm (No. 65), with a = 5.5208 Å, b = 6.5131 Å, c = 7.1755 Å, α = 90.00°, β = 90.00° and γ = 90.00°. The asymmetric unit holds Li at (0.0000, 0.0000, 0.0000), Ho at (0.0000, 0.5000, 0.5000) and Au at (0.2500, 0.2500, 0.2171).

---

Verdict on stability: P comes out on top.

---

P:
Below is an optimized crystal structure of LiHo2Au4, with properties calculated at the PBE level.

The density of states at the Fermi level comes out at 3.68 states/eV/cell. The calculation puts the volume at 157 Å³ per cell.

It has space group P4/mmm (No. 123), with a = 4.8304 Å, b = 4.8304 Å, c = 6.7337 Å, α = 90.00°, β = 90.00° and γ = 90.00°. The asymmetric unit holds Li at (0.0000, 0.0000, 0.0000), Ho at (0.0000, 0.0000, 0.5000), Ho at (0.5000, 0.5000, 0.0000) and Au at (0.0000, 0.5000, 0.2493).

---

Q:
Below is an optimized crystal structure of LiHo2Au4, with properties calculated at the PBE level.

The density of states at the Fermi level comes out at 6.38 states/eV/cell. The calculation puts the volume at 292 Å³ per cell.

It has space group P2_1/m (No. 11), with a = 5.8819 Å, b = 5.8266 Å, c = 8.7944 Å, α = 90.00°, β = 104.51° and γ = 90.00°. The asymmetric unit holds Li at (0.0770, 0.2500, 0.3010), Ho at (0.1128, 0.2500, 0.9126), Ho at (0.3064, 0.7500, 0.5155), Au at (0.2122, 0.2500, 0.5993), Au at (0.2939, 0.7500, 0.9152) and Au at (0.3729, 0.5071, 0.2126).

---

Verdict on stability: Q comes out on top.

---

P:
Below is an optimized crystal structure of LiNdHoAu, with properties calculated at the PBE level.

The density of states at the Fermi level comes out at 14.12 states/eV/cell. The calculation puts the volume at 394 Å³ per cell.

It has space group F-43m (No. 216), with a = 7.3305 Å, b = 7.3305 Å, c = 7.3305 Å, α = 90.00°, β = 90.00° and γ = 90.00°. The asymmetric unit holds Li at (0.0000, 0.0000, 0.0000), Nd at (0.2500, 0.2500, 0.7500), Ho at (0.2500, 0.2500, 0.2500) and Au at (0.0000, 0.0000, 0.5000).

---

Q:
Below is an optimized crystal structure of LiNdHoAu, with properties calculated at the PBE level.

The density of states at the Fermi level comes out at 3.40 states/eV/cell. The calculation puts the volume at 98 Å³ per cell.

It has space group Pmmm (No. 47), with a = 3.7233 Å, b = 5.1032 Å, c = 5.1587 Å, α = 90.00°, β = 90.00° and γ = 90.00°. The asymmetric unit holds Li at (0.0000, 0.0000, 0.0000), Nd at (0.5000, 0.5000, 0.0000), Ho at (0.5000, 0.0000, 0.5000) and Au at (0.0000, 0.5000, 0.5000).

---

Verdict on stability: Q comes out on top.

---

P:
Below is an optimized crystal structure of HoLuAu, with properties calculated at the PBE level.

The density of states at the Fermi level comes out at 6.83 states/eV/cell. The calculation puts the volume at 153 Å³ per cell.

It has space group I4mm (No. 107), with a = 3.5426 Å, b = 3.5426 Å, c = 12.1720 Å, α = 90.00°, β = 90.00° and γ = 90.00°. The asymmetric unit holds Ho at (0.0000, 0.0000, 0.0000), Lu at (0.0000, 0.0000, 0.7090) and Au at (0.0000, 0.0000, 0.3476).

---

Q:
Below is an optimized crystal structure of HoLuAu, with properties calculated at the PBE level.

The density of states at the Fermi level comes out at 13.87 states/eV/cell. The calculation puts the volume at 334 Å³ per cell.

It has space group F-43m (No. 216), with a = 6.9412 Å, b = 6.9412 Å, c = 6.9412 Å, α = 90.00°, β = 90.00° and γ = 90.00°. The asymmetric unit holds Ho at (0.0000, 0.0000, 0.0000), Lu at (0.0000, 0.0000, 0.5000) and Au at (0.2500, 0.2500, 0.2500).

---

R:
Below is an optimized crystal structure of HoLuAu, with properties calculated at the PBE level.

The density of states at the Fermi level comes out at 1.80 states/eV/cell. The calculation puts the volume at 77 Å³ per cell.

It has space group P3m1 (No. 156), with a = 4.8585 Å, b = 4.8585 Å, c = 3.7510 Å, α = 90.00°, β = 90.00° and γ = 120.00°. The asymmetric unit holds Ho at (0.0000, 0.0000, 0.0000), Lu at (0.3333, 0.6667, 0.5219) and Au at (0.6667, 0.3333, 0.2916).

---

Verdict on stability: P comes out on top.

---

P:
Below is an optimized crystal structure of HoLu2Au, with properties calculated at the PBE level.

The density of states at the Fermi level comes out at 5.66 states/eV/cell. The calculation puts the volume at 106 Å³ per cell.

It has space group P4/mmm (No. 123), with a = 3.5035 Å, b = 3.5035 Å, c = 8.6512 Å, α = 90.00°, β = 90.00° and γ = 90.00°. The asymmetric unit holds Ho at (0.0000, 0.0000, 0.0000), Lu at (0.5000, 0.5000, 0.2959) and Au at (0.0000, 0.0000, 0.5000).

---

Q:
Below is an optimized crystal structure of HoLu2Au, with properties calculated at the PBE level.

The density of states at the Fermi level comes out at 4.70 states/eV/cell. The calculation puts the volume at 100 Å³ per cell.

It has space group P4/mmm (No. 123), with a = 4.6390 Å, b = 4.6390 Å, c = 4.6577 Å, α = 90.00°, β = 90.00° and γ = 90.00°. The asymmetric unit holds Ho at (0.0000, 0.0000, 0.0000), Lu at (0.0000, 0.5000, 0.5000) and Au at (0.5000, 0.5000, 0.0000).

---

Verdict on stability: P comes out on top.

---

P:
Below is an optimized crystal structure of Ho2MgAu, with properties calculated at the PBE level.

The density of states at the Fermi level comes out at 3.28 states/eV/cell. The calculation puts the volume at 98 Å³ per cell.

It has space group P4/mmm (No. 123), with a = 3.6866 Å, b = 3.6866 Å, c = 7.2422 Å, α = 90.00°, β = 90.00° and γ = 90.00°. The asymmetric unit holds Ho at (0.0000, 0.0000, 0.2349), Mg at (0.5000, 0.5000, 0.5000) and Au at (0.5000, 0.5000, 0.0000).

---

Q:
Below is an optimized crystal structure of Ho2MgAu, with properties calculated at the PBE level.

The density of states at the Fermi level comes out at 13.95 states/eV/cell. The calculation puts the volume at 391 Å³ per cell.

It has space group Fm-3m (No. 225), with a = 7.3117 Å, b = 7.3117 Å, c = 7.3117 Å, α = 90.00°, β = 90.00° and γ = 90.00°. The asymmetric unit holds Ho at (0.2500, 0.2500, 0.2500), Mg at (0.0000, 0.0000, 0.0000) and Au at (0.0000, 0.0000, 0.5000).

---

Verdict on stability: P comes out on top.

---

P:
Below is an optimized crystal structure of HoMg2Au3, with properties calculated at the PBE level.

The density of states at the Fermi level comes out at 6.43 states/eV/cell. The calculation puts the volume at 240 Å³ per cell.

It has space group P-3m1 (No. 164), with a = 4.7662 Å, b = 4.7662 Å, c = 12.1874 Å, α = 90.00°, β = 90.00° and γ = 120.00°. The asymmetric unit holds Ho at (0.3333, 0.6667, 0.1730), Mg at (0.0000, 0.0000, 0.0000), Mg at (0.0000, 0.0000, 0.5000), Mg at (0.3333, 0.6667, 0.6575), Au at (0.0000, 0.0000, 0.2713), Au at (0.3333, 0.6667, 0.4201) and Au at (0.3333, 0.6667, 0.9269).

---

Q:
Below is an optimized crystal structure of HoMg2Au3, with properties calculated at the PBE level.

The density of states at the Fermi level comes out at 1.37 states/eV/cell. The calculation puts the volume at 118 Å³ per cell.

It has space group P4/mmm (No. 123), with a = 3.3933 Å, b = 3.3933 Å, c = 10.2825 Å, α = 90.00°, β = 90.00° and γ = 90.00°. The asymmetric unit holds Ho at (0.0000, 0.0000, 0.0000), Mg at (0.0000, 0.0000, 0.3438), Au at (0.5000, 0.5000, 0.1851) and Au at (0.5000, 0.5000, 0.5000).

---

Verdict on stability: P comes out on top.

---

P:
Below is an optimized crystal structure of Ho2MgAu3, with properties calculated at the PBE level.

The density of states at the Fermi level comes out at 2.80 states/eV/cell. The calculation puts the volume at 129 Å³ per cell.

It has space group P4/mmm (No. 123), with a = 3.5112 Å, b = 3.5112 Å, c = 10.4767 Å, α = 90.00°, β = 90.00° and γ = 90.00°. The asymmetric unit holds Ho at (0.0000, 0.0000, 0.1761), Mg at (0.0000, 0.0000, 0.5000), Au at (0.5000, 0.5000, 0.0000) and Au at (0.5000, 0.5000, 0.3444).

---

Q:
Below is an optimized crystal structure of Ho2MgAu3, with properties calculated at the PBE level.

The density of states at the Fermi level comes out at 4.87 states/eV/cell. The calculation puts the volume at 259 Å³ per cell.

It has space group P-3m1 (No. 164), with a = 4.9673 Å, b = 4.9673 Å, c = 12.1019 Å, α = 90.00°, β = 90.00° and γ = 120.00°. The asymmetric unit holds Ho at (0.0000, 0.0000, 0.0000), Ho at (0.0000, 0.0000, 0.5000), Ho at (0.3333, 0.6667, 0.1795), Mg at (0.3333, 0.6667, 0.6649), Au at (0.0000, 0.0000, 0.2510), Au at (0.3333, 0.6667, 0.4245) and Au at (0.3333, 0.6667, 0.9200).

---

Verdict on stability: Q comes out on top.

---

P:
Below is an optimized crystal structure of Ho3Mg2Au3, with properties calculated at the PBE level.

The density of states at the Fermi level comes out at 13.66 states/eV/cell. The calculation puts the volume at 366 Å³ per cell.

It has space group P6_3/mcm (No. 193), with a = 8.5492 Å, b = 8.5492 Å, c = 5.7882 Å, α = 90.00°, β = 90.00° and γ = 120.00°. The asymmetric unit holds Ho at (0.0000, 0.2612, 0.2500), Mg at (0.3333, 0.6667, 0.0000) and Au at (0.0000, 0.3912, 0.7500).

---

Q:
Below is an optimized crystal structure of Ho3Mg2Au3, with properties calculated at the PBE level.

The density of states at the Fermi level comes out at 6.78 states/eV/cell. The calculation puts the volume at 368 Å³ per cell.

It has space group Immm (No. 71), with a = 3.5119 Å, b = 5.1119 Å, c = 20.5165 Å, α = 90.00°, β = 90.00° and γ = 90.00°. The asymmetric unit holds Ho at (0.0000, 0.0000, 0.0000), Ho at (0.0000, 0.5000, 0.1224), Mg at (0.0000, 0.0000, 0.2340), Au at (0.0000, 0.0000, 0.5000) and Au at (0.0000, 0.5000, 0.3745).

---

Verdict on stability: P comes out on top.

---

P:
Below is an optimized crystal structure of NdHoMgAu, with properties calculated at the PBE level.

The density of states at the Fermi level comes out at 11.48 states/eV/cell. The calculation puts the volume at 414 Å³ per cell.

It has space group F-43m (No. 216), with a = 7.4511 Å, b = 7.4511 Å, c = 7.4511 Å, α = 90.00°, β = 90.00° and γ = 90.00°. The asymmetric unit holds Nd at (0.0000, 0.0000, 0.0000), Ho at (0.0000, 0.0000, 0.5000), Mg at (0.2500, 0.2500, 0.7500) and Au at (0.2500, 0.2500, 0.2500).

---

Q:
Below is an optimized crystal structure of NdHoMgAu, with properties calculated at the PBE level.

The density of states at the Fermi level comes out at 3.65 states/eV/cell. The calculation puts the volume at 104 Å³ per cell.

It has space group P4mm (No. 99), with a = 3.7403 Å, b = 3.7403 Å, c = 7.4183 Å, α = 90.00°, β = 90.00° and γ = 90.00°. The asymmetric unit holds Nd at (0.0000, 0.0000, 0.0000), Ho at (0.0000, 0.0000, 0.4702), Mg at (0.5000, 0.5000, 0.7245) and Au at (0.5000, 0.5000, 0.2646).

---

Verdict on stability: Q comes out on top.

---

P:
Below is an optimized crystal structure of HoTmMgAu, with properties calculated at the PBE level.

The density of states at the Fermi level comes out at 16.60 states/eV/cell. The calculation puts the volume at 386 Å³ per cell.

It has space group F-43m (No. 216), with a = 7.2809 Å, b = 7.2809 Å, c = 7.2809 Å, α = 90.00°, β = 90.00° and γ = 90.00°. The asymmetric unit holds Ho at (0.0000, 0.0000, 0.0000), Tm at (0.0000, 0.0000, 0.5000), Mg at (0.2500, 0.2500, 0.2500) and Au at (0.2500, 0.2500, 0.7500).

---

Q:
Below is an optimized crystal structure of HoTmMgAu, with properties calculated at the PBE level.

The density of states at the Fermi level comes out at 3.31 states/eV/cell. The calculation puts the volume at 97 Å³ per cell.

It has space group P4mm (No. 99), with a = 3.6733 Å, b = 3.6733 Å, c = 7.2161 Å, α = 90.00°, β = 90.00° and γ = 90.00°. The asymmetric unit holds Ho at (0.0000, 0.0000, 0.0000), Tm at (0.0000, 0.0000, 0.5313), Mg at (0.5000, 0.5000, 0.2686) and Au at (0.5000, 0.5000, 0.7594).

---

Verdict on stability: Q comes out on top.

---

P:
Below is an optimized crystal structure of NdHo2Au, with properties calculated at the PBE level.

The density of states at the Fermi level comes out at 22.29 states/eV/cell. The calculation puts the volume at 464 Å³ per cell.

It has space group Cmcm (No. 63), with a = 4.9439 Å, b = 12.0693 Å, c = 7.7749 Å, α = 90.00°, β = 90.00° and γ = 90.00°. The asymmetric unit holds Nd at (0.0000, 0.0477, 0.2500), Ho at (0.0000, 0.3541, 0.0355) and Au at (0.0000, 0.2046, 0.7500).

---

Q:
Below is an optimized crystal structure of NdHo2Au, with properties calculated at the PBE level.

The density of states at the Fermi level comes out at 14.71 states/eV/cell. The calculation puts the volume at 363 Å³ per cell.

It has space group R3m (No. 160, hexagonal axes), with a = 3.7700 Å, b = 3.7700 Å, c = 29.4829 Å, α = 90.00°, β = 90.00° and γ = 120.00°. The asymmetric unit holds Nd at (0.0000, 0.0000, 0.0000), Ho at (0.0000, 0.0000, 0.5659), Ho at (0.0000, 0.0000, 0.7647) and Au at (0.0000, 0.0000, 0.1646).

---

Verdict on stability: P comes out on top.